Record 1
YHo5Sb4, optimized geometry, DFT PBE; formation energy from raw total energies = -0.716 eV per atom; raw total energy = -5.30 eV/atom; density of states at the Fermi level = 0.539 states/eV/atom; total magnetization = 0.00 Bohr magnetons per cell
1.0
4.2917 0.0000 0.0000
0.0000 8.3634 -0.6342
-2.1459 -1.8631 9.1001
Y Ho Sb
1 5 4
direct
0.5000 0.0000 0.0000 Y
0.8212 0.6497 0.6424 Ho
0.8375 0.1786 0.6750 Ho
0.1625 0.8214 0.3250 Ho
0.5000 0.5000 0.0000 Ho
0.1788 0.3503 0.3576 Ho
0.3300 0.9135 0.6600 Sb
0.9913 0.7405 0.9826 Sb
0.6700 0.0865 0.3400 Sb
0.0087 0.2595 0.0174 Sb

Record 2
Y4HoSb5, optimized geometry, DFT PBE; formation energy from raw total energies = -1.156 eV per atom; raw total energy = -6.26 eV/atom; density of states at the Fermi level = 0.192 states/eV/atom; total magnetization = 0.00 Bohr magnetons per cell
1.0
4.3069 0.0000 -0.8309
-0.3195 5.9666 -1.6563
0.0048 -0.0007 11.6026
Y Ho Sb
4 1 5
direct
0.4000 0.4000 0.8001 Y
0.8003 0.8003 0.6006 Y
0.1997 0.1997 0.3994 Y
0.6000 0.6000 0.1999 Y
0.0000 0.0000 0.0000 Ho
0.5993 0.0993 0.1987 Sb
0.7999 0.2999 0.5998 Sb
0.2001 0.7001 0.4002 Sb
0.0000 0.5000 0.0000 Sb
0.4007 0.9007 0.8013 Sb

Record 3
Y4Ho3Sb4, optimized geometry, DFT PBE; formation energy from raw total energies = -0.770 eV per atom; raw total energy = -5.87 eV/atom; density of states at the Fermi level = 1.057 states/eV/atom; total magnetization = 0.00 Bohr magnetons per cell
1.0
4.0297 0.0000 0.0000
0.0000 9.1595 0.0000
-2.0148 -4.5798 8.6227
Y Ho Sb
4 3 4
direct
0.3316 0.1480 0.6631 Y
0.6684 0.4849 0.3369 Y
0.6684 0.8520 0.3369 Y
0.3316 0.5151 0.6631 Y
0.0996 0.0996 0.1991 Ho
0.9004 0.9004 0.8009 Ho
0.0000 0.5000 0.0000 Ho
0.2653 0.7653 0.5305 Sb
0.7347 0.2347 0.4695 Sb
0.5000 0.7936 0.0000 Sb
0.5000 0.2064 0.0000 Sb